# BaCaMg2Pd, optimized geometry, DFT PBE
# Size of the total moment = 0.00 μB/f.u.
# Energy of formation from the pure elements = -7.0 kcal/mol of atoms
# Crystal system = tetragonal
data_BaCaMg2Pd
_chemical_formula_sum 'Ba1 Ca1 Mg2 Pd1'
_symmetry_space_group_name_H-M 'P 1'
_symmetry_Int_Tables_number 1
_symmetry_space_group_name_Hall 'P 1'
_cell_length_a 5.3303
_cell_length_b 5.3303
_cell_length_c 5.4749
_cell_angle_alpha 90.00
_cell_angle_beta 90.00
_cell_angle_gamma 90.00
loop_
_atom_site_label
_atom_site_fract_x
_atom_site_fract_y
_atom_site_fract_z
_atom_site_occupancy
Mg1 0.5000 0.0000 0.0000 1
Mg2 0.0000 0.5000 0.0000 1
Ba1 0.5000 0.5000 0.5000 1
Pd1 0.0000 0.0000 0.0000 1
Ca1 0.0000 0.0000 0.5000 1

=====

# La3MgIn3, optimized geometry, DFT PBE
# Size of the total moment = 0.22 μB/f.u.
# Energy of formation from the pure elements = -10.0 kcal/mol of atoms
# Crystal system = monoclinic
data_La3MgIn3
_chemical_formula_sum 'La6 Mg2 In6'
_symmetry_space_group_name_H-M 'P 1'
_symmetry_Int_Tables_number 1
_symmetry_space_group_name_Hall 'P 1'
_cell_length_a 4.9354
_cell_length_b 6.4382
_cell_length_c 15.0827
_cell_angle_alpha 83.54
_cell_angle_beta 80.58
_cell_angle_gamma 67.46
loop_
_atom_site_label
_atom_site_fract_x
_atom_site_fract_y
_atom_site_fract_z
_atom_site_occupancy
In1 0.8829 0.1631 0.0712 1
In2 0.0374 0.1608 0.7645 1
In3 0.9626 0.8392 0.2355 1
In4 0.1171 0.8369 0.9288 1
In5 0.8735 0.7005 0.5525 1
In6 0.1265 0.2995 0.4475 1
La1 0.5933 0.7297 0.0836 1
La2 0.4067 0.2703 0.9164 1
La3 0.2600 0.2618 0.2182 1
La4 0.4653 0.6871 0.3823 1
La5 0.5347 0.3129 0.6177 1
La6 0.7400 0.7382 0.7818 1
Mg1 0.2432 0.9158 0.5978 1
Mg2 0.7568 0.0842 0.4022 1

=====

# KSrY2, optimized geometry, DFT PBE
# Size of the total moment = 0.00 μB/f.u.
# Energy of formation from the pure elements = 9.6 kcal/mol of atoms
# Crystal system = orthorhombic
data_KSrY2
_chemical_formula_sum 'K1 Sr1 Y2'
_symmetry_space_group_name_H-M 'P 1'
_symmetry_Int_Tables_number 1
_symmetry_space_group_name_Hall 'P 1'
_cell_length_a 7.5325
_cell_length_b 7.5325
_cell_length_c 7.5325
_cell_angle_alpha 149.79
_cell_angle_beta 127.66
_cell_angle_gamma 61.63
loop_
_atom_site_label
_atom_site_fract_x
_atom_site_fract_y
_atom_site_fract_z
_atom_site_occupancy
Y1 0.0198 0.0198 0.0000 1
Y2 0.2326 0.7326 0.5000 1
K1 0.4909 0.4909 0.0000 1
Sr1 0.7567 0.2567 0.5000 1

=====

# NiSn2Ru, optimized geometry, DFT PBE
# Size of the total moment = 0.73 μB/f.u.
# Energy of formation from the pure elements = 10.5 kcal/mol of atoms
# Crystal system = trigonal
data_NiSn2Ru
_chemical_formula_sum 'Ni1 Sn2 Ru1'
_symmetry_space_group_name_H-M 'P 1'
_symmetry_Int_Tables_number 1
_symmetry_space_group_name_Hall 'P 1'
_cell_length_a 3.0817
_cell_length_b 3.0817
_cell_length_c 9.3722
_cell_angle_alpha 80.54
_cell_angle_beta 80.54
_cell_angle_gamma 60.00
loop_
_atom_site_label
_atom_site_fract_x
_atom_site_fract_y
_atom_site_fract_z
_atom_site_occupancy
Ru1 0.0000 0.0000 0.0000 1
Ni1 0.5000 0.5000 0.5000 1
Sn1 0.9047 0.9047 0.2858 1
Sn2 0.0953 0.0953 0.7142 1

=====

The calculation returns the following calculated total energy values, one per record and in order: -2.766; -3.947; -3.509; -5.308 eV per atom.